Entry 1:
First-principles (PBE-GGA) data for an optimized crystal structure of KNdTl2I6, as listed in the Alexandria database.

Properties
Density of states at the Fermi level, states/eV per atom: 0.00
Total magnetic moment, μB/f.u.: 0.00
Energy relative to the elements, uncorrected, meV/atom: -1128
Space-group type: R3 (146)

Cell: 9.1135 9.1135 9.1135 Å, 56.94 56.94 56.94°
Last column: nearest neighbours and their distance in Å.
Sites, in units of the cell vectors:
1 K 0.0000 0.0000 0.0000  6 I 3.51-3.63
2 Nd 0.4922 0.4922 0.4922  6 I 3.13-3.16
3 Tl 0.2953 0.2953 0.2953  6 I 3.54-3.58
4 Tl 0.8039 0.8039 0.8039  6 I 3.49-3.57
5 I 0.1248 0.6943 0.3996  1 Nd 3.16, 1 Tl 3.49, 1 K 3.51
6 I 0.2465 0.6045 0.8483  1 Nd 3.13
7 I 0.3996 0.1248 0.6943  1 Nd 3.16, 1 Tl 3.49, 1 K 3.51
8 I 0.6045 0.8483 0.2465  1 Nd 3.13
9 I 0.6943 0.3996 0.1248  1 Nd 3.16, 1 Tl 3.49, 1 K 3.51
10 I 0.8483 0.2465 0.6045  1 Nd 3.13

***

Entry 2:
First-principles (PBE-GGA) data for an optimized crystal structure of K2NdTlI6, as listed in the Alexandria database.

Properties
Density of states at the Fermi level, states/eV per atom: 0.00
Total magnetic moment, μB/f.u.: 0.00
Energy relative to the elements, uncorrected, meV/atom: -1292
Space-group type: R3 (146)

Cell: 9.1181 9.1181 9.1181 Å, 57.14 57.14 57.14°
Last column: nearest neighbours and their distance in Å.
Sites, in units of the cell vectors:
1 K 0.0000 0.0000 0.0000  6 I 3.53-3.63
2 K 0.4900 0.4900 0.4900  6 I 3.57-3.65
3 Nd 0.6922 0.6922 0.6922  6 I 3.13-3.16
4 Tl 0.2002 0.2002 0.2002  6 I 3.46-3.62
5 I 0.0447 0.4470 0.8091  1 Nd 3.13
6 I 0.3316 0.9014 0.5880  1 Nd 3.16, 1 Tl 3.46, 1 K 3.53
7 I 0.4470 0.8091 0.0447  1 Nd 3.13
8 I 0.5880 0.3316 0.9014  1 Nd 3.16, 1 Tl 3.46, 1 K 3.53
9 I 0.8091 0.0447 0.4470  1 Nd 3.13
10 I 0.9014 0.5880 0.3316  1 Nd 3.16, 1 Tl 3.46, 1 K 3.53